Record 1
This record from Alexandria via LeMat-Bulk describes an optimized crystal structure of KSc2Ag. The functional is PBE.

abc: 6.259 6.259 6.259
angles: 137.97 137.97 60.94
Atoms (fractional coordinates):
Ag (0.250, 0.750, 0.500)
K (0.750, 0.250, 0.500)
Sc (0.000, 0.000, 0.000)
Sc (0.500, 0.500, 0.000)

## Properties
ΔH_f (0 K)   530 meV/atom
Size of the total moment   1.1 μB per formula unit


Record 2
This record from Alexandria via LeMat-Bulk describes an optimized crystal structure of Ga2GeI6Cl2. The functional is PBE.

abc: 7.397 7.397 10.112
angles: 90.00 90.00 120.00
Atoms (fractional coordinates):
Ga (0.333, 0.667, 0.740)
Ga (0.667, 0.333, 0.260)
Ge (0.000, 0.000, 0.000)
I (0.333, 0.330, 0.821)
I (0.997, 0.667, 0.821)
I (0.670, 0.003, 0.821)
I (0.667, 0.670, 0.179)
I (0.003, 0.333, 0.179)
I (0.330, 0.997, 0.179)
Cl (0.333, 0.667, 0.527)
Cl (0.667, 0.333, 0.473)

## Properties
Size of the total moment   0.0 μB per formula unit
Energy relative to the elements, uncorrected   -0.56 eV per atom


Record 3
This record from Alexandria via LeMat-Bulk describes an optimized crystal structure of Tc5Ru. The functional is PBE.

abc: 4.996 4.996 4.435
angles: 90.00 90.00 120.00
Atoms (fractional coordinates):
Tc (0.000, 0.500, 0.500)
Tc (0.333, 0.667, 0.000)
Tc (0.500, 0.000, 0.500)
Tc (0.500, 0.500, 0.500)
Tc (0.667, 0.333, 0.000)
Ru (0.000, 0.000, 0.000)

## Properties
ΔH_f (0 K)   597 meV/atom
Size of the total moment   0.0 μB per formula unit
Energy above the lowest structure with this stoichiometry   3.719 eV per formula unit


Question: Number 2 is which compound?
Answer: Ga2GeI6Cl2